## A
A plane-wave DFT calculation with PBE was carried out for a relaxed structure of Ho2Er5Sc.

Structure (POSCAR):
```
Ho2Er5Sc
1.0
0.000 5.525 6.156
3.553 0.000 6.156
3.553 5.525 0.000
Ho Er Sc
2 5 1
Cartesian
3.553 2.721 6.156
3.553 8.328 6.156
1.776 2.762 3.098
3.553 5.525 4.127
5.313 5.525 7.190
5.329 8.287 9.253
1.792 5.525 7.190
3.553 5.525 10.274
```

Calculated values
- total moment (μB/f.u.) = 0.01
- symmetry = No. 42
- ρ (Mg/m³) = 8.32


## B
A plane-wave DFT calculation with PBE was carried out for a relaxed structure of Ho2Er5Sc.

Structure (POSCAR):
```
Ho2Er5Sc
1.0
6.960 0.000 0.000
0.000 13.928 0.000
0.000 0.000 4.913
Ho Er Sc
4 10 2
Cartesian
1.724 1.722 0.000
1.756 8.686 0.000
5.204 5.242 0.000
5.236 12.206 0.000
0.000 6.964 2.456
0.009 10.473 2.456
1.743 5.239 0.000
1.737 12.203 0.000
3.471 3.509 2.456
3.480 0.000 2.456
3.489 10.419 2.456
5.223 1.725 0.000
5.217 8.689 0.000
6.951 3.455 2.456
0.000 0.000 2.456
3.480 6.964 2.456
```

Calculated values
- total moment (μB/f.u.) = 0.00
- symmetry = No. 55
- ρ (Mg/m³) = 8.45


On energetic grounds, A is preferred over the next structure by 22 meV/atom.


## A
A plane-wave DFT calculation with PBE was carried out for a relaxed structure of Ho5Er4Sc.

Structure (POSCAR):
```
Ho5Er4Sc
1.0
3.503 0.000 0.000
-1.750 9.071 0.000
-0.012 -2.674 9.466
Ho Er Sc
5 4 1
Cartesian
0.000 0.000 0.000
-0.001 3.353 0.947
-0.006 2.013 5.673
1.747 4.384 3.792
1.742 3.044 8.518
-0.001 6.735 1.942
-0.007 5.428 6.593
1.749 0.969 2.872
1.742 -0.338 7.524
-0.006 -1.337 4.733
```

Calculated values
- total moment (μB/f.u.) = 0.00
- symmetry = No. 2
- ρ (Mg/m³) = 8.49


## B
A plane-wave DFT calculation with PBE was carried out for a relaxed structure of Ho5Er4Sc.

Structure (POSCAR):
```
Ho5Er4Sc
1.0
-5.243 5.243 2.848
5.243 -5.243 2.848
5.243 5.243 -2.848
Ho Er Sc
5 4 1
Cartesian
0.000 0.000 0.000
3.283 3.283 -1.240
1.959 -1.959 1.608
-1.959 1.959 1.608
1.959 1.959 1.608
5.243 -1.855 1.554
5.243 1.855 1.554
-1.855 5.243 1.554
1.855 5.243 1.554
0.000 0.000 3.028
```

Calculated values
- total moment (μB/f.u.) = 0.00
- symmetry = No. 107
- ρ (Mg/m³) = 8.16


On energetic grounds, A is preferred over the next structure by 213 meV/atom.


## A
A plane-wave DFT calculation with PBE was carried out for a relaxed structure of HoErThSc.

Structure (POSCAR):
```
HoErThSc
1.0
1.761 1.017 11.032
-1.761 1.017 11.032
0.000 -2.034 11.032
Ho Er Th Sc
1 1 1 1
Cartesian
0.000 0.000 0.000
0.000 0.000 24.927
0.000 0.000 5.661
0.000 0.000 19.360
```

Calculated values
- total moment (μB/f.u.) = 0.12
- symmetry = No. 160
- ρ (Mg/m³) = 8.53


## B
A plane-wave DFT calculation with PBE was carried out for a relaxed structure of HoErThSc.

Structure (POSCAR):
```
HoErThSc
1.0
0.000 3.903 3.903
3.903 0.000 3.903
3.903 3.903 0.000
Ho Er Th Sc
1 1 1 1
Cartesian
0.000 0.000 0.000
1.952 1.952 1.952
3.903 3.903 3.903
5.855 5.855 5.855
```

Calculated values
- total moment (μB/f.u.) = 0.00
- symmetry = No. 216
- ρ (Mg/m³) = 8.51


On energetic grounds, A is preferred over the next structure by 85 meV/atom.